(1)
KTcNi2Ru | PBE | relaxed

Values from the calculation:
For the formation energy, the calculation gives 2.68 eV/atom.

Lattice parameters (Å, degrees): 4.2883 4.2883 4.6683 90.00 90.00 90.00
Closest atoms and distances in Å follow each position.
Space group P4/mmm (No. 123)
Unique sites:
K1 0.0000 0.0000 0.0000 x1  4 Ni 2.14, 2 Tc 2.33
Tc1 0.0000 0.0000 0.5000 x1  2 K 2.33
Ni1 0.0000 0.5000 0.0000 x2  2 K 2.14
Ru1 0.5000 0.5000 0.5000 x1  4 Tc 3.03, 8 Ni 3.17

***

(2)
Ac3Te12Pb5 | PBE | relaxed

Lattice parameters (Å, degrees): 18.7690 18.7690 18.7690 90.00 90.00 90.00
Closest atoms and distances in Å follow each position.
Space group Ia-3d (No. 230)
Unique sites:
Ac1 0.0000 0.2500 0.1250 x24  8 Te 3.47
Te1 0.0176 0.0681 0.6536 x96  2 Pb 2.99-3.17
Pb1 0.0000 0.0000 0.0000 x16  6 Te 3.17
Pb2 0.0000 0.2500 0.3750 x24  4 Te 2.99

***

(3)
CrMoS | PBE | relaxed

Lattice parameters (Å, degrees): 3.2238 3.2238 9.4837 90.00 90.00 90.00
Closest atoms and distances in Å follow each position.
Space group P4/nmm (No. 129, origin choice 2)
Unique sites:
Cr1 0.2500 0.2500 0.2501 x2  4 S 2.42
Mo1 0.2500 0.2500 0.5729 x2  1 S 2.48, 4 Mo 2.67
S1 0.2500 0.2500 0.8346 x2  4 Cr 2.42, 1 Mo 2.48

***

(4)
V2ZnAgAu | PBE | relaxed

Values from the calculation:
For the formation energy, the calculation gives 1.08 eV/atom.

Lattice parameters (Å, degrees): 4.7359 4.7359 4.6956 90.00 90.00 90.00
Closest atoms and distances in Å follow each position.
Space group P4/mmm (No. 123)
Unique sites:
V1 0.0000 0.5000 0.0000 x2  2 Zn 2.37
Zn1 0.0000 0.0000 0.0000 x1  2 Au 2.35, 4 V 2.37
Ag1 0.5000 0.5000 0.5000 x1  8 V 3.33, 4 Au 3.35
Au1 0.0000 0.0000 0.5000 x1  2 Zn 2.35

***

(5)
NdCuPd3 | PBE | relaxed

Values from the calculation:
For the formation energy, the calculation gives 0.07 eV/atom.

Lattice parameters (Å, degrees): 6.9841 12.4999 4.9734 90.00 90.00 90.00
Closest atoms and distances in Å follow each position.
Space group Cmcm (No. 63)
Unique sites:
Nd1 0.0000 0.1047 0.2500 x4  2 Pd 2.65, 1 Cu 2.76
Cu1 0.0000 0.3259 0.2500 x4  4 Pd 2.51-2.60, 1 Nd 2.76
Pd1 0.0000 0.5000 0.0000 x4  2 Pd 2.49, 2 Cu 2.51
Pd2 0.1809 0.2808 0.7500 x8  3 Pd 2.53-2.78, 1 Cu 2.60, 1 Nd 2.65

***

(6)
Rb2AgSnS4 | PBE | relaxed

Lattice parameters (Å, degrees): 8.0900 8.0900 7.0441 90.00 90.00 90.00
Closest atoms and distances in Å follow each position.
Space group I-42m (No. 121)
Unique sites:
Rb1 0.0000 0.5000 0.0000 x4  8 S 3.47-3.59, 2 Rb 3.52
Ag1 0.0000 0.0000 0.0000 x2  4 S 2.60
Sn1 0.0000 0.0000 0.5000 x2  4 S 2.43
S1 0.1567 0.1567 0.2673 x8  1 Sn 2.43, 1 Ag 2.60

***

(7)
SiHg2Rh | PBE | relaxed

Lattice parameters (Å, degrees): 5.4065 10.0708 3.2452 90.00 121.20 90.00
Closest atoms and distances in Å follow each position.
Space group C2/m (No. 12)
Unique sites:
Si1 0.0000 0.0000 0.0000 x2  4 Rh 2.70-2.96, 4 Hg 2.86
Hg1 0.2500 0.2500 0.0000 x4  4 Hg 2.70-2.96, 2 Rh 2.86, 2 Si 2.86
Rh1 0.0000 0.5000 0.0000 x2  4 Si 2.70-2.96, 4 Hg 2.86

***

(8)
La2SnO | PBE | relaxed

Lattice parameters (Å, degrees): 4.7773 4.7773 9.3667 90.00 90.00 90.00
Closest atoms and distances in Å follow each position.
Space group P4/nmm (No. 129, origin choice 2)
Unique sites:
La1 0.2500 0.2500 0.1629 x2  1 O 2.37
La2 0.2500 0.7500 0.5000 x2  4 O 2.51
Sn1 0.2500 0.2500 0.7934 x2  9 La 3.40-3.64, 1 O 3.53
O1 0.2500 0.2500 0.4165 x2  5 La 2.37-2.51

***

E readings, ordered: -18.90 -652.27 -50.73 -20.26 -96.32 -60.15 -24.15 -52.74 eV for the cell shown